1.
Density functional theory data (PBE-GGA) for DyTmPu2 after structural relaxation.

POSCAR file:
```
DyTmPu2
1.0
5.4423 0.0000 0.0000
2.7212 4.7132 0.0000
2.7212 1.5711 4.3059
Pu Dy Tm
2 1 1
Direct
0.0265 0.0265 0.9204 Pu
0.2254 0.2254 0.3239 Pu
0.7513 0.7513 0.7461 Dy
0.4968 0.4968 0.5096 Tm
```

Calculated values
As for the energy above the most stable polymorph in this dataset: 11.6 kJ/mol of atoms. The magnetization comes out at 0.07 μB per formula unit. The value obtained for the energy of formation from the pure elements is 0.28 eV per atom. The volume is 27.61 A^3/atom.

=====

2.
Density functional theory data (PBE-GGA) for Dy5Tm12Pu after structural relaxation.

POSCAR file:
```
Dy5Tm12Pu
1.0
-1.4705 -5.0314 -3.0476
5.6351 2.2124 -0.3407
5.8846 -10.3303 12.1969
Tm Dy Pu
12 5 1
Direct
0.2725 0.2725 0.1635 Tm
0.7276 0.7276 0.8365 Tm
0.4432 0.7765 0.6703 Tm
0.1102 0.1102 0.6696 Tm
0.3815 0.0548 0.8368 Tm
0.0548 0.3815 0.8368 Tm
0.6185 0.9452 0.1632 Tm
0.8898 0.8898 0.3304 Tm
0.7765 0.4432 0.6703 Tm
0.5568 0.2235 0.3297 Tm
0.2235 0.5568 0.3297 Tm
0.9452 0.6185 0.1632 Tm
0.3335 0.6665 0.0000 Dy
0.1666 0.8334 0.5000 Dy
0.8334 0.1666 0.5000 Dy
0.6665 0.3335 0.0000 Dy
0.5000 0.5000 0.5000 Dy
0.0000 0.0000 0.0000 Pu
```

Calculated values
The magnetization comes out at 0.03 μB per formula unit. The value obtained for the energy of formation from the pure elements is 0.15 eV per atom. The volume is 29.92 A^3/atom.

=====

3.
Density functional theory data (PBE-GGA) for Dy4Tm7Pu after structural relaxation.

POSCAR file:
```
Dy4Tm7Pu
1.0
-4.7227 -2.0534 2.5865
2.4897 -3.6945 8.0327
-1.6589 4.5606 7.0113
Tm Pu Dy
7 1 4
Direct
0.0617 0.2823 0.5942 Tm
0.1656 0.6610 0.0078 Tm
0.2911 0.8840 0.5339 Tm
0.8344 0.3390 0.9922 Tm
0.7089 0.1160 0.4661 Tm
0.9383 0.7177 0.4058 Tm
0.5000 0.0000 0.0000 Tm
0.0000 0.0000 0.0000 Pu
0.7362 0.7328 0.7949 Dy
0.4093 0.4553 0.7262 Dy
0.2638 0.2672 0.2051 Dy
0.5907 0.5447 0.2738 Dy
```

Calculated values
The magnetization comes out at 7.43 μB per formula unit. The value obtained for the energy of formation from the pure elements is 0.26 eV per atom. The volume is 31.01 A^3/atom.

=====

4.
Density functional theory data (PBE-GGA) for Dy8Tm2Pu after structural relaxation.

POSCAR file:
```
Dy8Tm2Pu
1.0
6.1252 0.0000 3.1013
-1.6155 10.1915 3.1907
0.6391 1.0574 6.3373
Dy Tm Pu
8 2 1
Direct
0.3178 0.9413 0.3644 Dy
0.7633 0.2696 0.9756 Dy
0.3192 0.3777 0.3615 Dy
0.2367 0.7304 0.0244 Dy
0.6808 0.6223 0.6385 Dy
0.6822 0.0587 0.6356 Dy
0.2611 0.2696 0.9756 Dy
0.7389 0.7304 0.0244 Dy
0.1727 0.5842 0.6545 Tm
0.8273 0.4158 0.3455 Tm
0.0000 0.0000 0.0000 Pu
```

Calculated values
The magnetization comes out at 7.49 μB per formula unit. The value obtained for the energy of formation from the pure elements is 0.16 eV per atom. The volume is 31.77 A^3/atom.

=====

5.
Density functional theory data (PBE-GGA) for Dy3Tm3Pu after structural relaxation.

POSCAR file:
```
Dy3Tm3Pu
1.0
5.8012 -0.0047 1.8668
2.5950 5.1788 1.8726
-1.3705 -0.8356 14.2463
Dy Tm Pu
6 6 2
Direct
0.5359 0.2004 0.3964 Dy
0.1320 0.4632 0.6035 Dy
0.7998 0.1320 0.6035 Dy
0.4641 0.7996 0.6036 Dy
0.2002 0.8680 0.3965 Dy
0.8680 0.5368 0.3965 Dy
0.3978 0.0626 0.8063 Tm
0.9351 0.2706 0.1947 Tm
0.6022 0.9374 0.1937 Tm
0.7317 0.3955 0.8064 Tm
0.2683 0.6045 0.1936 Tm
0.0649 0.7294 0.8053 Tm
0.3310 0.3343 0.0000 Pu
0.6690 0.6657 0.0000 Pu
```

Calculated values
The magnetization comes out at 5.71 μB per formula unit. The value obtained for the energy of formation from the pure elements is 0.19 eV per atom. The volume is 31.89 A^3/atom.

=====

6.
Density functional theory data (PBE-GGA) for DyTmPu4 after structural relaxation.

POSCAR file:
```
DyTmPu4
1.0
-1.0161 -5.5295 2.4771
4.4648 -4.2201 0.0299
2.7284 -1.5480 5.2824
Tm Pu Dy
1 4 1
Direct
0.0000 0.0000 0.0000 Tm
0.6250 0.6250 0.1249 Pu
0.6250 0.6250 0.6250 Pu
0.1249 0.6250 0.6250 Pu
0.6250 0.1249 0.6250 Pu
0.2500 0.2500 0.2500 Dy
```

Calculated values
The magnetization comes out at 22.54 μB per formula unit. The value obtained for the energy of formation from the pure elements is 0.23 eV per atom. The volume is 27.33 A^3/atom.

=====

7.
Density functional theory data (PBE-GGA) for Dy2Tm4Pu after structural relaxation.

POSCAR file:
```
Dy2Tm4Pu
1.0
3.5338 0.0000 0.0000
-1.7669 3.0496 -0.2586
0.0000 -0.3771 19.6974
Tm Dy Pu
4 2 1
Direct
0.0006 0.0013 0.2381 Tm
0.4296 0.8591 0.5273 Tm
0.5230 0.0461 0.8081 Tm
0.9044 0.8088 0.9500 Tm
0.7152 0.4303 0.3826 Dy
0.6193 0.2386 0.0942 Dy
0.8093 0.6186 0.6678 Pu
```

Calculated values
The magnetization comes out at 5.85 μB per formula unit. The value obtained for the energy of formation from the pure elements is 0.05 eV per atom. The volume is 30.28 A^3/atom.

=====

8.
Density functional theory data (PBE-GGA) for Dy3Tm6Pu after structural relaxation.

POSCAR file:
```
Dy3Tm6Pu
1.0
8.4410 0.3915 4.2525
3.2119 8.2665 4.5855
2.2446 1.7612 6.1228
Tm Dy Pu
6 3 1
Direct
0.6457 0.0329 0.8740 Tm
0.2015 0.8459 0.3923 Tm
0.9001 0.6251 0.2998 Tm
0.4001 0.7884 0.7999 Tm
0.1540 0.3525 0.7261 Tm
0.5988 0.2400 0.2070 Tm
0.0684 0.1560 0.5382 Dy
0.3998 0.4643 0.8002 Dy
0.7316 0.5626 0.0621 Dy
0.8999 0.9323 0.3003 Pu
```

Calculated values
The magnetization comes out at 6.40 μB per formula unit. The value obtained for the energy of formation from the pure elements is 0.18 eV per atom. The volume is 30.06 A^3/atom.

=====

9.
Density functional theory data (PBE-GGA) for Dy12Tm7Pu after structural relaxation.

POSCAR file:
```
Dy12Tm7Pu
1.0
-5.1430 -7.3544 -3.8402
2.4000 6.3181 -7.0432
8.1196 -3.5132 4.1247
Dy Tm Pu
12 7 1
Direct
0.7455 0.2537 0.9992 Dy
0.5082 0.2545 0.2537 Dy
0.7463 0.0008 0.2545 Dy
0.9992 0.7455 0.2537 Dy
0.4918 0.7455 0.7463 Dy
0.7463 0.4918 0.7455 Dy
0.7455 0.7463 0.4918 Dy
0.2537 0.5082 0.2545 Dy
0.2545 0.2537 0.5082 Dy
0.2545 0.7463 0.0008 Dy
0.2537 0.9992 0.7455 Dy
0.0008 0.2545 0.7463 Dy
0.5000 0.5000 0.0000 Tm
0.5000 0.0000 0.5000 Tm
0.0000 0.5000 0.5000 Tm
0.5000 0.0000 0.0000 Tm
0.0000 0.5000 0.0000 Tm
0.0000 0.0000 0.5000 Tm
0.5000 0.5000 0.5000 Tm
0.0000 0.0000 0.0000 Pu
```

Calculated values
As for the energy above the most stable polymorph in this dataset: 60.9 kJ/mol of atoms. The magnetization comes out at 6.33 μB per formula unit. The value obtained for the energy of formation from the pure elements is 0.76 eV per atom. The volume is 35.80 A^3/atom.

=====

10.
Density functional theory data (PBE-GGA) for DyTm2Pu after structural relaxation.

POSCAR file:
```
DyTm2Pu
1.0
-3.7345 -0.7664 -3.1043
-1.6541 -3.6252 2.8848
-2.7388 3.2357 2.4959
Dy Tm Pu
1 2 1
Direct
0.5000 0.5000 0.5000 Dy
0.0000 0.5000 0.0000 Tm
0.0000 0.0000 0.5000 Tm
0.5000 0.0000 0.0000 Pu
```

Calculated values
As for the energy above the most stable polymorph in this dataset: 4.8 kJ/mol of atoms. The magnetization comes out at 6.31 μB per formula unit. The value obtained for the energy of formation from the pure elements is 0.13 eV per atom. The volume is 29.74 A^3/atom.

=====

11.
Density functional theory data (PBE-GGA) for DyTm2Pu after structural relaxation.

POSCAR file:
```
DyTm2Pu
1.0
3.5005 0.0000 0.0000
1.7503 3.0315 0.0000
1.7503 1.0105 11.2405
Tm Pu Dy
2 1 1
Direct
0.2510 0.2510 0.2469 Tm
0.0823 0.0823 0.7530 Tm
0.6661 0.6661 0.0016 Pu
0.5005 0.5005 0.4984 Dy
```

Calculated values
As for the energy above the most stable polymorph in this dataset: 0.2 kJ/mol of atoms. The magnetization comes out at 5.85 μB per formula unit. The value obtained for the energy of formation from the pure elements is 0.09 eV per atom. The volume is 29.82 A^3/atom.

=====

12.
Density functional theory data (PBE-GGA) for Dy14TmPu after structural relaxation.

POSCAR file:
```
Dy14TmPu
1.0
7.1377 -0.9213 0.0000
-2.7702 6.6424 0.0000
0.0000 0.0000 11.2292
Dy Tm Pu
14 1 1
Direct
0.1632 0.3319 0.7530 Dy
0.8335 0.6668 0.5000 Dy
0.6681 0.8368 0.7530 Dy
0.6681 0.8368 0.2470 Dy
0.1667 0.8333 0.2508 Dy
0.8333 0.1667 0.5000 Dy
0.3333 0.6667 0.5000 Dy
0.1632 0.3319 0.2470 Dy
0.6682 0.3318 0.7521 Dy
0.3332 0.1665 0.5000 Dy
0.1667 0.8333 0.7492 Dy
0.8328 0.6655 0.0000 Dy
0.3345 0.1672 0.0000 Dy
0.6682 0.3318 0.2479 Dy
0.3337 0.6663 0.0000 Tm
0.8331 0.1669 0.0000 Pu
```

Calculated values
The magnetization comes out at 5.97 μB per formula unit. The value obtained for the energy of formation from the pure elements is 0.03 eV per atom. The volume is 31.48 A^3/atom.

=====

> Number 4 is which compound?

Dy8Tm2Pu

=====

Please write out number 7 again, unchanged.
Density functional theory data (PBE-GGA) for Dy2Tm4Pu after structural relaxation.

POSCAR file:
```
Dy2Tm4Pu
1.0
3.5338 0.0000 0.0000
-1.7669 3.0496 -0.2586
0.0000 -0.3771 19.6974
Tm Dy Pu
4 2 1
Direct
0.0006 0.0013 0.2381 Tm
0.4296 0.8591 0.5273 Tm
0.5230 0.0461 0.8081 Tm
0.9044 0.8088 0.9500 Tm
0.7152 0.4303 0.3826 Dy
0.6193 0.2386 0.0942 Dy
0.8093 0.6186 0.6678 Pu
```

Calculated values
The magnetization comes out at 5.85 μB per formula unit. The value obtained for the energy of formation from the pure elements is 0.05 eV per atom. The volume is 30.28 A^3/atom.